DFT (GGA-PBE) results for a relaxed structure of HoPuAs.

Lattice parameters (Å, degrees): 4.732 4.732 4.007 90.00 90.00 120.00
Positions (direct):
As 0.333 0.667 0.598
Ho 0.667 0.333 0.439
Pu 0.000 0.000 0.963

Computed properties:
The formation energy from the elements is -0.436 eV/atom. As for the energy above the most stable polymorph in this dataset: 0.0 kJ per mole of atoms. For the total magnetization, the calculation gives 6.51 μB/cell. The calculation puts the total energy at -0.609 Ry/atom.

=====

DFT (GGA-PBE) results for a relaxed structure of Li3Mg2Pb.

Lattice parameters (Å, degrees): 5.785 5.785 9.077 99.93 99.93 117.31
Positions (direct):
Li 0.326 0.838 0.164
Li 0.162 0.674 0.836
Li 0.674 0.162 0.836
Li 0.838 0.326 0.164
Li 0.170 0.170 0.339
Li 0.830 0.830 0.661
Mg 0.250 0.750 0.500
Mg 0.754 0.754 0.000
Mg 0.750 0.250 0.500
Mg 0.246 0.246 0.000
Pb 0.660 0.660 0.320
Pb 0.340 0.340 0.680

Computed properties:
The formation energy from the elements is -0.122 eV/atom. For the total magnetization, the calculation gives 0.00 μB/cell. The calculation puts the total energy at -0.164 Ry/atom.

=====

DFT (GGA-PBE) results for a relaxed structure of DyBePt4.

Lattice parameters (Å, degrees): 3.917 6.422 7.886 90.00 104.38 90.00
Positions (direct):
Dy 0.109 0.250 0.218
Dy 0.891 0.750 0.782
Be 0.229 0.750 0.458
Be 0.771 0.250 0.542
Pt 0.500 0.500 0.000
Pt 0.500 0.000 0.000
Pt 0.686 0.959 0.372
Pt 0.314 0.041 0.628
Pt 0.314 0.459 0.628
Pt 0.686 0.541 0.372
Pt 0.082 0.750 0.164
Pt 0.918 0.250 0.836

Computed properties:
The formation energy from the elements is -0.920 eV/atom. For the total magnetization, the calculation gives 0.00 μB/cell. The calculation puts the total energy at -0.466 Ry/atom.

=====

DFT (GGA-PBE) results for a relaxed structure of SiSb2Ru.

Lattice parameters (Å, degrees): 4.399 4.689 4.690 63.03 90.00 90.00
Positions (direct):
Ru 0.500 0.694 0.694
Sb 0.000 0.907 0.907
Sb 0.500 0.333 0.333
Si 0.000 0.566 0.565

Computed properties:
The calculation puts the energy relative to the elements, uncorrected at 3 meV per atom. For the total magnetization, the calculation gives 0.00 μB/cell. The calculation puts the total energy at -0.421 Ry/atom.

=====

DFT (GGA-PBE) results for a relaxed structure of Sr3Ho3NpS8.

Lattice parameters (Å, degrees): 7.988 7.988 8.261 118.91 90.00 120.00
Positions (direct):
Sr 0.000 0.000 0.000
Sr 0.000 0.500 0.000
Sr 0.500 0.500 0.000
Ho 0.500 0.000 0.500
Ho 0.500 0.500 0.500
Ho 0.000 0.500 0.500
Np 0.000 0.000 0.500
S 0.257 0.515 0.273
S 0.743 0.485 0.727
S 0.757 0.514 0.276
S 0.243 0.486 0.724
S 0.757 0.019 0.276
S 0.243 0.981 0.724
S 0.262 0.019 0.276
S 0.738 0.981 0.724

Computed properties:
The calculation puts the energy relative to the elements, uncorrected at -1942 meV per atom. For the total magnetization, the calculation gives 4.36 μB/cell. The calculation puts the total energy at -0.460 Ry/atom.

=====

DFT (GGA-PBE) results for a relaxed structure of PRhIO2.

Lattice parameters (Å, degrees): 3.903 3.903 5.274 90.00 90.00 90.00
Positions (direct):
I 0.500 0.500 0.500
P 0.000 0.000 0.500
Rh 0.000 0.000 0.000
O 0.000 0.500 0.000
O 0.500 0.000 0.000

Computed properties:
The calculation puts the energy relative to the elements, uncorrected at 58 meV per atom. As for the energy above the most stable polymorph in this dataset: 10.5 kJ per mole of atoms. For the total magnetization, the calculation gives 1.50 μB/cell. The calculation puts the total energy at -0.352 Ry/atom.

=====

DFT (GGA-PBE) results for a relaxed structure of Cd2Ga.

Lattice parameters (Å, degrees): 3.012 9.734 9.814 64.35 90.00 90.00
Positions (direct):
Cd 0.500 0.748 0.579
Cd 0.500 0.752 0.921
Cd 0.000 0.998 0.329
Cd 0.000 0.502 0.171
Cd 0.000 0.002 0.671
Cd 0.000 0.498 0.829
Cd 0.500 0.248 0.079
Cd 0.500 0.252 0.421
Ga 0.000 0.500 0.500
Ga 0.000 0.000 0.000
Ga 0.498 0.250 0.750
Ga 0.502 0.750 0.250

Computed properties:
The formation energy from the elements is 0.015 eV/atom. For the total magnetization, the calculation gives 0.00 μB/cell. The calculation puts the total energy at -0.118 Ry/atom.